Crystalline HoGa2 at its relaxed geometry. Source: Alexandria via LeMat-Bulk, functional PBE.

CIF file:
```
data_HoGa2
_space_group_name_H-M_alt 'P 1'
_space_group_IT_number 1
_cell_length_a 4.2094
_cell_length_b 4.2094
_cell_length_c 4.0600
_cell_angle_alpha 90.00
_cell_angle_beta 90.00
_cell_angle_gamma 120.00
loop_
_space_group_symop_operation_xyz
'x,y,z'
loop_
_atom_site_label
_atom_site_type_symbol
_atom_site_fract_x
_atom_site_fract_y
_atom_site_fract_z
_atom_site_occupancy
Ga1 Ga 0.3333 0.6667 0.5000 1
Ga2 Ga 0.6667 0.3333 0.5000 1
Ho1 Ho 0.0000 0.0000 0.0000 1
```

Total magnetization = 0.0 μB per cell
ΔH_f (0 K) = -1.9 eV per formula unit
D(E_F) = 0.5272 states/eV/atom

***

Crystalline Ho5Ga at its relaxed geometry. Source: Alexandria via LeMat-Bulk, functional PBE.

CIF file:
```
data_Ho5Ga
_space_group_name_H-M_alt 'P 1'
_space_group_IT_number 1
_cell_length_a 4.7792
_cell_length_b 4.7327
_cell_length_c 7.7527
_cell_angle_alpha 107.77
_cell_angle_beta 90.00
_cell_angle_gamma 90.00
loop_
_space_group_symop_operation_xyz
'x,y,z'
loop_
_atom_site_label
_atom_site_type_symbol
_atom_site_fract_x
_atom_site_fract_y
_atom_site_fract_z
_atom_site_occupancy
Ho1 Ho 0.5000 0.8341 0.6683 1
Ho2 Ho 0.5000 0.1659 0.3317 1
Ho3 Ho 0.5000 0.5000 0.0000 1
Ho4 Ho 0.0000 0.6589 0.3177 1
Ho5 Ho 0.0000 0.3411 0.6823 1
Ga1 Ga 0.0000 0.0000 0.0000 1
```

Total magnetization = 0.0 μB per cell
ΔH_f (0 K) = -0.8 eV per formula unit
D(E_F) = 1.1233 states/eV/atom

***

Crystalline HoGa2 at its relaxed geometry. Source: Alexandria via LeMat-Bulk, functional PBE.

CIF file:
```
data_HoGa2
_space_group_name_H-M_alt 'P 1'
_space_group_IT_number 1
_cell_length_a 5.4908
_cell_length_b 5.4908
_cell_length_c 5.4908
_cell_angle_alpha 60.00
_cell_angle_beta 60.00
_cell_angle_gamma 60.00
loop_
_space_group_symop_operation_xyz
'x,y,z'
loop_
_atom_site_label
_atom_site_type_symbol
_atom_site_fract_x
_atom_site_fract_y
_atom_site_fract_z
_atom_site_occupancy
Ga1 Ga 0.6250 0.6250 0.6250 1
Ga2 Ga 0.6250 0.6250 0.1250 1
Ga3 Ga 0.6250 0.1250 0.6250 1
Ga4 Ga 0.1250 0.6250 0.6250 1
Ho1 Ho 0.2500 0.2500 0.2500 1
Ho2 Ho 0.0000 0.0000 0.0000 1
```

Total magnetization = 0.0 μB per cell
ΔH_f (0 K) = -1.6 eV per formula unit
D(E_F) = 0.6114 states/eV/atom

***

Crystalline HoGa4 at its relaxed geometry. Source: Alexandria via LeMat-Bulk, functional PBE.

CIF file:
```
data_HoGa4
_space_group_name_H-M_alt 'P 1'
_space_group_IT_number 1
_cell_length_a 4.2846
_cell_length_b 6.3390
_cell_length_c 7.9931
_cell_angle_alpha 113.36
_cell_angle_beta 105.55
_cell_angle_gamma 90.00
loop_
_space_group_symop_operation_xyz
'x,y,z'
loop_
_atom_site_label
_atom_site_type_symbol
_atom_site_fract_x
_atom_site_fract_y
_atom_site_fract_z
_atom_site_occupancy
Ga1 Ga 0.5000 0.5000 0.0000 1
Ga2 Ga 0.3038 0.7697 0.6076 1
Ga3 Ga 0.3038 0.3379 0.6076 1
Ga4 Ga 0.1031 0.3531 0.2063 1
Ga5 Ga 0.8969 0.6469 0.7937 1
Ga6 Ga 0.6962 0.6621 0.3924 1
Ga7 Ga 0.6962 0.2303 0.3924 1
Ga8 Ga 0.5000 0.0000 0.0000 1
Ho1 Ho 0.8865 0.1365 0.7729 1
Ho2 Ho 0.1135 0.8635 0.2271 1
```

Energy above the lowest structure with this stoichiometry = 0 meV/atom
Total magnetization = 0.0 μB per cell
ΔH_f (0 K) = -2.0 eV per formula unit
D(E_F) = 0.3387 states/eV/atom